An optimized crystal structure of Ac2VS6, computed with PBE-GGA.

Unit cell a=6.044 b=7.635 c=10.877 alpha=90.00 beta=121.52 gamma=90.00
Element x y z (fractional)
Ac 0.206 0.101 0.262
Ac 0.206 0.399 0.762
Ac 0.794 0.601 0.238
Ac 0.794 0.899 0.738
V 0.500 0.000 0.000
V 0.500 0.500 0.500
S 0.137 0.162 0.966
S 0.137 0.338 0.466
S 0.295 0.724 0.963
S 0.295 0.776 0.463
S 0.318 0.017 0.749
S 0.318 0.483 0.249
S 0.682 0.517 0.751
S 0.682 0.983 0.251
S 0.705 0.224 0.537
S 0.705 0.276 0.037
S 0.863 0.662 0.534
S 0.863 0.838 0.034

Properties
magnetization = 0.00 Bohr magnetons per cell
raw formation energy = -1.376 eV per atom
E above lowest polymorph = 0 meV per atom
space group = P2_1/c (14)
N(E_F) = 5.50 states/eV/f.u.


An optimized crystal structure of Sc4In3Rh, computed with PBE-GGA.

Unit cell a=3.203 b=3.203 c=16.478 alpha=90.00 beta=90.00 gamma=90.00
Element x y z (fractional)
Sc 0.000 0.000 0.100
Sc 0.000 0.000 0.367
Sc 0.000 0.000 0.633
Sc 0.000 0.000 0.900
In 0.500 0.500 0.236
In 0.500 0.500 0.500
In 0.500 0.500 0.764
Rh 0.500 0.500 0.000

Properties
energy of formation from the pure elements = -576.0 meV/atom
magnetization = 0.87 Bohr magnetons per cell
space group = P4/mmm (123)
N(E_F) = 5.52 states/eV/f.u.


An optimized crystal structure of Pr2LuTh, computed with PBE-GGA.

Unit cell a=11.942 b=11.942 c=11.942 alpha=17.45 beta=17.45 gamma=17.45
Element x y z (fractional)
Pr 0.250 0.250 0.250
Pr 0.750 0.750 0.750
Lu 0.500 0.500 0.500
Th 0.000 0.000 0.000

Properties
energy of formation from the pure elements = 55.4 meV/atom
magnetization = 0.00 Bohr magnetons per cell
E above lowest polymorph = 0 meV per atom
space group = R-3m (166)
N(E_F) = 6.12 states/eV/f.u.